The following is a PBE-GGA calculation of a relaxed structure of Tb2Er3Zn2, from Alexandria.

**E_tot**: -3.772 eV per atom
**ρ**: 8.477 g/cm³
**Relative energy among the computed polymorphs**: 0.0 kJ/mol of formula units

a = 3.4995 Å, b = 3.4867 Å, c = 15.3580 Å
α = 90.01°, β = 83.46°, γ = 90.00°
Last column: nearest neighbours and their distance in Å.
Sites, in units of the cell vectors:
Tb: 0.2987 0.5003 0.4011  6 Tb 3.49-3.50, 4 Er 3.55
Tb: 0.7013 0.4997 0.5989  6 Tb 3.49-3.50, 4 Er 3.55
Er: 0.8820 0.0001 0.2345  4 Zn 3.07
Er: 0.1180 0.9999 0.7655  4 Zn 3.07
Er: 0.0000 0.0000 0.0000  8 Zn 3.03
Zn: 0.4416 0.5001 0.1153  8 Er 3.03-3.07
Zn: 0.5584 0.4999 0.8847  8 Er 3.03-3.07